1.
Density functional theory data (PBE) for CaW3Br after structural relaxation.

Cell: 4.7098 4.7098 4.7098 Å, 90.00 90.00 90.00°
Closest atoms and distances in Å follow each position.
Element x y z (fractional)
Ca 0.0000 0.0000 0.0000  12 W 3.33
W 0.0000 0.5000 0.5000  2 Br 2.35
W 0.5000 0.0000 0.5000  2 Br 2.35
W 0.5000 0.5000 0.0000  2 Br 2.35
Br 0.5000 0.5000 0.5000  6 W 2.35

Properties
ΔE to the lowest computed polymorph = 0.000 eV/atom
E_tot = -33.23 eV for the cell shown

***

2.
Density functional theory data (PBE) for Zr4HgBr8 after structural relaxation.

Cell: 10.0911 10.0911 13.8909 Å, 132.06 132.06 20.07°
Closest atoms and distances in Å follow each position.
Element x y z (fractional)
Zr 0.0000 0.0000 0.0000  5 Br 2.73-2.78
Zr 0.1323 0.1323 0.6414  5 Br 2.74-2.78
Zr 0.5110 0.5110 0.3883  5 Br 2.74-2.78
Zr 0.6432 0.6432 0.0308  5 Br 2.73-2.78
Hg 0.8221 0.8221 0.5156  8 Br 3.51-3.52, 2 Hg 3.52
Br 0.1434 0.1434 0.4556  3 Zr 2.74-2.75
Br 0.1690 0.1690 0.9030  2 Zr 2.78
Br 0.1840 0.1840 0.2165  3 Zr 2.73-2.75
Br 0.4592 0.4592 0.8144  3 Zr 2.73-2.75
Br 0.4738 0.4738 0.1274  2 Zr 2.78
Br 0.5000 0.5000 0.5743  3 Zr 2.74-2.75
Br 0.7801 0.7801 0.7896  2 Zr 2.78
Br 0.8632 0.8632 0.2407  2 Zr 2.78

Properties
E_tot = -62.03 eV for the cell shown

***

3.
Density functional theory data (PBE) for Sr3Al2 after structural relaxation.

Cell: 13.0237 13.0237 13.0237 Å, 90.00 90.00 90.00°
Closest atoms and distances in Å follow each position.
Element x y z (fractional)
Sr 0.0301 0.2194 0.9404  5 Al 3.40-3.79, 1 Sr 3.74
Sr 0.0327 0.1951 0.4356  4 Al 3.35-3.45, 2 Sr 3.58-3.74
Sr 0.0596 0.5301 0.2806  5 Al 3.40-3.79, 1 Sr 3.74
Sr 0.0632 0.4368 0.5632  3 Al 3.25, 3 Sr 3.58
Sr 0.0644 0.9673 0.6951  4 Al 3.35-3.45, 2 Sr 3.58-3.74
Sr 0.1683 0.8317 0.3317  6 Al 3.52-3.60
Sr 0.1772 0.6772 0.8228  6 Al 3.54-3.69
Sr 0.1951 0.4356 0.0327  4 Al 3.35-3.45, 2 Sr 3.58-3.74
Sr 0.2194 0.9404 0.0301  5 Al 3.40-3.79, 1 Sr 3.74
Sr 0.2806 0.0596 0.5301  5 Al 3.40-3.79, 1 Sr 3.74
Sr 0.3049 0.5644 0.5327  4 Al 3.35-3.45, 2 Sr 3.58-3.74
Sr 0.3228 0.3228 0.3228  6 Al 3.54-3.69
Sr 0.3317 0.1683 0.8317  6 Al 3.52-3.60
Sr 0.4356 0.0327 0.1951  4 Al 3.35-3.45, 2 Sr 3.58-3.74
Sr 0.4368 0.5632 0.0632  3 Al 3.25, 3 Sr 3.58
Sr 0.4404 0.4699 0.7806  5 Al 3.40-3.79, 1 Sr 3.74
Sr 0.4673 0.8049 0.9356  4 Al 3.35-3.45, 2 Sr 3.58-3.74
Sr 0.4699 0.7806 0.4404  5 Al 3.40-3.79, 1 Sr 3.74
Sr 0.5301 0.2806 0.0596  5 Al 3.40-3.79, 1 Sr 3.74
Sr 0.5327 0.3049 0.5644  4 Al 3.35-3.45, 2 Sr 3.58-3.74
Sr 0.5596 0.9699 0.7194  5 Al 3.40-3.79, 1 Sr 3.74
Sr 0.5632 0.0632 0.4368  3 Al 3.25, 3 Sr 3.58
Sr 0.5644 0.5327 0.3049  4 Al 3.35-3.45, 2 Sr 3.58-3.74
Sr 0.6683 0.6683 0.6683  6 Al 3.52-3.60
Sr 0.6772 0.8228 0.1772  6 Al 3.54-3.69
Sr 0.6951 0.0644 0.9673  4 Al 3.35-3.45, 2 Sr 3.58-3.74
Sr 0.7194 0.5596 0.9699  5 Al 3.40-3.79, 1 Sr 3.74
Sr 0.7806 0.4404 0.4699  5 Al 3.40-3.79, 1 Sr 3.74
Sr 0.8049 0.9356 0.4673  4 Al 3.35-3.45, 2 Sr 3.58-3.74
Sr 0.8228 0.1772 0.6772  6 Al 3.54-3.69
Sr 0.8317 0.3317 0.1683  6 Al 3.52-3.60
Sr 0.9356 0.4673 0.8049  4 Al 3.35-3.45, 2 Sr 3.58-3.74
Sr 0.9368 0.9368 0.9368  3 Al 3.25, 3 Sr 3.58
Sr 0.9404 0.0301 0.2194  5 Al 3.40-3.79, 1 Sr 3.74
Sr 0.9673 0.6951 0.0644  4 Al 3.35-3.45, 2 Sr 3.58-3.74
Sr 0.9699 0.7194 0.5596  5 Al 3.40-3.79, 1 Sr 3.74
Al 0.0915 0.2604 0.1936  2 Al 2.71
Al 0.1019 0.2250 0.6893  2 Al 2.76
Al 0.1893 0.3981 0.7750  2 Al 2.76
Al 0.1936 0.0915 0.2604  2 Al 2.71
Al 0.2250 0.6893 0.1019  2 Al 2.76
Al 0.2396 0.8064 0.5915  2 Al 2.71
Al 0.2604 0.1936 0.0915  2 Al 2.71
Al 0.2750 0.3107 0.6019  2 Al 2.76
Al 0.3064 0.9085 0.7604  2 Al 2.71
Al 0.3107 0.6019 0.2750  2 Al 2.76
Al 0.3981 0.7750 0.1893  2 Al 2.76
Al 0.4085 0.7396 0.6936  2 Al 2.71
Al 0.5915 0.2396 0.8064  2 Al 2.71
Al 0.6019 0.2750 0.3107  2 Al 2.76
Al 0.6893 0.1019 0.2250  2 Al 2.76
Al 0.6936 0.4085 0.7396  2 Al 2.71
Al 0.7250 0.8107 0.8981  2 Al 2.76
Al 0.7396 0.6936 0.4085  2 Al 2.71
Al 0.7604 0.3064 0.9085  2 Al 2.71
Al 0.7750 0.1893 0.3981  2 Al 2.76
Al 0.8064 0.5915 0.2396  2 Al 2.71
Al 0.8107 0.8981 0.7250  2 Al 2.76
Al 0.8981 0.7250 0.8107  2 Al 2.76
Al 0.9085 0.7604 0.3064  2 Al 2.71

Properties
ΔH_f (0 K) = -78 meV/atom
ΔE to the lowest computed polymorph = 0.054 eV/atom
E_tot = -155.06 eV for the cell shown